## SrAu11 (PBE)

Data for crystalline SrAu11 at its relaxed geometry. Values from VASP.

Structure (Quantum ESPRESSO input):
```
&SYSTEM
  ibrav = 0, nat = 24, ntyp = 2
/
ATOMIC_SPECIES
Au 196.97 Au.upf
Sr 87.62 Sr.upf
ATOMIC_POSITIONS crystal
Au 0.155 0.173 0.413
Au 0.875 0.250 0.250
Au 0.672 0.173 0.587
Au 0.009 0.673 0.913
Au 0.000 0.000 0.000
Au 0.750 0.500 0.500
Au 0.155 0.413 0.173
Au 0.009 0.913 0.673
Au 0.432 0.413 0.827
Au 0.595 0.327 0.087
Au 0.595 0.087 0.327
Au 0.318 0.673 0.087
Au 0.741 0.587 0.827
Au 0.741 0.827 0.587
Au 0.318 0.087 0.673
Au 0.432 0.827 0.413
Au 0.875 0.250 0.750
Au 0.078 0.327 0.913
Au 0.672 0.587 0.173
Au 0.375 0.750 0.750
Au 0.875 0.750 0.250
Au 0.078 0.913 0.327
Sr 0.250 0.500 0.500
Sr 0.500 0.000 0.000
CELL_PARAMETERS angstrom
6.866 0.000 3.131
3.433 8.075 1.566
0.082 0.000 8.912
```

Properties
* space group: I4_1/amd
* crystal system: tetragonal
* E_form: -4.48 kcal/mol of atoms